DFT (PBE) results for a relaxed CaTbLu4 crystal.

Geometry as CIF:
```
data_CaTbLu4
_cell_length_a 6.5465
_cell_length_b 6.5465
_cell_length_c 6.5465
_cell_angle_alpha 60.00
_cell_angle_beta 60.00
_cell_angle_gamma 60.00
_space_group_name_H-M_alt 'P 1'
_space_group_IT_number 1
loop_
_space_group_symop_operation_xyz
'x,y,z'
loop_
_atom_site_label
_atom_site_type_symbol
_atom_site_fract_x
_atom_site_fract_y
_atom_site_fract_z
_atom_site_occupancy
Ca1 Ca 0.0000 0.0000 0.0000 1
Tb1 Tb 0.7500 0.7500 0.7500 1
Lu1 Lu 0.3762 0.3762 0.3762 1
Lu2 Lu 0.3762 0.3762 0.8714 1
Lu3 Lu 0.3762 0.8714 0.3762 1
Lu4 Lu 0.8714 0.3762 0.3762 1
```

Space group: No. 216
Calculated volume in Å³ per atom: 33.07
ρ in Mg/m³: 7.5
Formation enthalpy at 0 K in eV per atom: 0.2361
Uncorrected energy in eV/atom: -3.883
M_tot in μB/f.u.: 0.01